[1]
{
  "formula": "NbZnI6",
  "functional": "PBE",
  "state": "optimized geometry",
  "cell": [[6.997, -1.663, -1.883], [-3.824, 6.781, -2.449], [0.648, 0.669, 7.616]],
  "species": ["I", "I", "I", "I", "I", "I", "Nb", "Zn"],
  "frac_coords": [[0.142, 0.385, 0.288], [0.854, 0.098, 0.712], [0.146, 0.902, 0.288], [0.858, 0.615, 0.712], [0.441, 0.720, 0.000], [0.559, 0.280, 0.000], [0.000, 0.500, 0.000], [0.000, 0.000, 0.000]],
  "final_energy_ev_per_atom": -2.976,
  "total_magnetization_mub_per_atom": 0.12,
  "rho_g_cm3": 4.49,
  "formation_energy_uncorrected_ev_per_atom": -0.396,
  "dos_at_fermi_per_ev_atom": 0.127,
  "volume_a3_per_cell": 340.12
}



[2]
{
  "formula": "ZrNbZnI",
  "functional": "PBE",
  "state": "optimized geometry",
  "cell": [[3.401, -0.002, -0.002], [-1.685, 5.092, -0.019], [-1.693, -1.991, 4.793]],
  "species": ["Zn", "I", "Nb", "Zr"],
  "frac_coords": [[0.141, 0.122, 0.445], [0.126, 0.594, 0.941], [0.481, 0.194, 0.050], [0.486, 0.719, 0.535]],
  "final_energy_ev_per_atom": -5.167,
  "total_magnetization_mub_per_atom": 0.00,
  "rho_g_cm3": 7.55,
  "formation_energy_uncorrected_ev_per_atom": 0.194,
  "dos_at_fermi_per_ev_atom": 0.632,
  "volume_a3_per_cell": 82.83
}



[3]
{
  "formula": "ZrNbZnI",
  "functional": "PBE",
  "state": "optimized geometry",
  "cell": [[-8.487, -3.231, 2.489], [1.576, -1.773, 3.072], [0.491, 4.800, 2.518]],
  "species": ["Nb", "Nb", "Zn", "Zn", "I", "I", "Zr", "Zr"],
  "frac_coords": [[0.551, 0.500, 0.641], [0.551, 0.000, 0.141], [0.352, 0.500, 0.134], [0.352, 0.000, 0.634], [0.022, 0.000, 0.412], [0.022, 0.500, 0.912], [0.781, 0.500, 0.166], [0.781, 0.000, 0.666]],
  "final_energy_ev_per_atom": -5.268,
  "total_magnetization_mub_per_atom": 0.00,
  "rho_g_cm3": 6.51,
  "formation_energy_uncorrected_ev_per_atom": 0.093,
  "dos_at_fermi_per_ev_atom": 0.649,
  "volume_a3_per_cell": 191.99
}



[4]
{
  "formula": "ZrNbZnI",
  "functional": "PBE",
  "state": "optimized geometry",
  "cell": [[-1.488, -2.170, 1.902], [1.646, -3.590, -2.803], [4.608, -1.045, 2.564]],
  "species": ["Zr", "Zn", "Nb", "I"],
  "frac_coords": [[0.244, 0.424, 0.390], [0.216, 0.591, 0.892], [0.722, 0.101, 0.925], [0.737, 0.912, 0.452]],
  "final_energy_ev_per_atom": -5.091,
  "total_magnetization_mub_per_atom": 0.00,
  "rho_g_cm3": 7.49,
  "formation_energy_uncorrected_ev_per_atom": 0.269,
  "dos_at_fermi_per_ev_atom": 0.403,
  "volume_a3_per_cell": 83.43
}



[5]
{
  "formula": "ZrNbZnI",
  "functional": "PBE",
  "state": "optimized geometry",
  "cell": [[-1.072, 1.418, 2.786], [-3.542, -3.779, -1.296], [4.381, -3.026, 1.321]],
  "species": ["Nb", "Zr", "Zn", "I"],
  "frac_coords": [[0.174, 0.803, 0.080], [0.157, 0.391, 0.447], [0.909, 0.853, 0.529], [0.396, 0.324, 0.973]],
  "final_energy_ev_per_atom": -5.149,
  "total_magnetization_mub_per_atom": 0.00,
  "rho_g_cm3": 7.43,
  "formation_energy_uncorrected_ev_per_atom": 0.212,
  "dos_at_fermi_per_ev_atom": 0.371,
  "volume_a3_per_cell": 84.12
}



[6]
{
  "formula": "ZrNbZnI",
  "functional": "PBE",
  "state": "optimized geometry",
  "cell": [[3.614, 0.000, 0.000], [0.000, 3.621, 0.000], [0.000, 0.000, 6.691]],
  "species": ["Zr", "I", "Zn", "Nb"],
  "frac_coords": [[0.500, 0.000, 0.226], [0.000, 0.500, 0.970], [0.500, 0.000, 0.633], [0.000, 0.500, 0.465]],
  "final_energy_ev_per_atom": -5.255,
  "total_magnetization_mub_per_atom": 0.00,
  "rho_g_cm3": 7.14,
  "formation_energy_uncorrected_ev_per_atom": 0.106,
  "dos_at_fermi_per_ev_atom": 1.116,
  "volume_a3_per_cell": 87.54
}



[7]
{
  "formula": "ZrNbZnI",
  "functional": "PBE",
  "state": "optimized geometry",
  "cell": [[4.967, 0.000, 0.005], [0.000, 3.269, 0.000], [-2.243, 0.000, 10.053]],
  "species": ["Zr", "Zr", "Nb", "Nb", "I", "I", "Zn", "Zn"],
  "frac_coords": [[0.987, 0.000, 0.238], [0.987, 0.500, 0.738], [0.359, 0.000, 0.023], [0.359, 0.500, 0.523], [0.841, 0.000, 0.498], [0.841, 0.500, 0.998], [0.471, 0.000, 0.755], [0.471, 0.500, 0.255]],
  "final_energy_ev_per_atom": -5.131,
  "total_magnetization_mub_per_atom": 0.00,
  "rho_g_cm3": 7.66,
  "formation_energy_uncorrected_ev_per_atom": 0.229,
  "dos_at_fermi_per_ev_atom": 0.612,
  "volume_a3_per_cell": 163.27
}



[8]
{
  "formula": "ZrNbZnI",
  "functional": "PBE",
  "state": "optimized geometry",
  "cell": [[-3.507, -1.300, 0.956], [2.911, -0.267, 2.522], [-4.728, 18.185, 7.384]],
  "species": ["Zr", "Zr", "Zr", "Zn", "Zn", "Zn", "I", "I", "I", "Nb", "Nb", "Nb"],
  "frac_coords": [[0.667, 0.333, 0.712], [0.000, 0.000, 0.379], [0.333, 0.667, 0.045], [0.333, 0.667, 0.453], [0.000, 0.000, 0.786], [0.667, 0.333, 0.120], [0.667, 0.333, 0.944], [0.333, 0.667, 0.277], [0.000, 0.000, 0.610], [0.000, 0.000, 0.181], [0.333, 0.667, 0.847], [0.667, 0.333, 0.514]],
  "final_energy_ev_per_atom": -5.186,
  "total_magnetization_mub_per_atom": 0.00,
  "rho_g_cm3": 7.20,
  "formation_energy_uncorrected_ev_per_atom": 0.175,
  "dos_at_fermi_per_ev_atom": 0.344,
  "volume_a3_per_cell": 260.61
}